[1]
Crystalline Pm3Pr2S8 at its relaxed geometry, computed with PBE-GGA.

Cell lengths 14.110, 8.258, 6.915 Å; angles 90.00, 110.51, 90.00 degrees
Space group C2/m (No. 12)
Unique sites:
Pm: 0.000 0.000 0.000 x2
Pm: 0.000 0.263 0.500 x4
Pr: 0.234 0.500 0.154 x4
S: 0.115 0.000 0.431 x4
S: 0.121 0.500 0.421 x4
S: 0.124 0.230 0.914 x8

Its total DFT energy (no corrections) is -6.2184 eV per atom.

***

[2]
Crystalline Pm2PrS4 at its relaxed geometry, computed with PBE-GGA.

Cell lengths 11.490, 4.042, 14.493 Å; angles 90.00, 90.00, 90.00 degrees
Space group Pnma (No. 62)
Unique sites:
Pm: 0.065 0.250 0.104 x4
Pm: 0.112 0.250 0.599 x4
Pr: 0.239 0.750 0.348 x4
S: 0.014 0.250 0.785 x4
S: 0.066 0.250 0.408 x4
S: 0.161 0.750 0.985 x4
S: 0.231 0.750 0.702 x4

Its total DFT energy (no corrections) is -6.4411 eV per atom.

***

[3]
Crystalline Pm3PrS3 at its relaxed geometry, computed with PBE-GGA.

Cell lengths 5.696, 5.696, 5.696 Å; angles 90.00, 90.00, 90.00 degrees
Space group Pm-3m (No. 221)
Unique sites:
Pm: 0.000 0.000 0.500 x3
Pr: 0.500 0.500 0.500 x1
S: 0.000 0.500 0.500 x3

Its total DFT energy (no corrections) is -6.1610 eV per atom.

***

[4]
Crystalline PmPr6S8 at its relaxed geometry, computed with PBE-GGA.

Cell lengths 11.580, 11.580, 11.580 Å; angles 90.00, 90.00, 90.00 degrees
Space group Fm-3m (No. 225)
Unique sites:
Pm: 0.000 0.000 0.000 x4
Pr: 0.000 0.250 0.250 x24
S: 0.000 0.000 0.247 x24
S: 0.250 0.250 0.250 x8

Its total DFT energy (no corrections) is -6.4671 eV per atom.

***

| no. | ΔE_f (raw) (eV per atom) |
| --- | --- |
| 1 | -1.85 |
| 2 | -2.04 |
| 3 | -1.67 |
| 4 | -2.04 |